Record 1
{"formula": "TlCdCu2", "functional": "GGA-PBE", "state": "optimized geometry", "sg": "P4mm", "final_energy_ev_per_atom": -2.706, "crystal_system": "tetragonal", "e_form_ev_per_atom": 0.163, "lattice": [[3.177, 0.000, 0.000], [0.000, 3.177, 0.000], [0.000, 0.000, 7.397]], "species": ["Cu", "Cu", "Cd", "Tl"], "frac_coords": [[0.000, 0.000, 0.037], [0.500, 0.500, 0.192], [0.500, 0.500, 0.811], [0.000, 0.000, 0.460]]}

=====

Record 2
{"formula": "TlCdCu2", "functional": "GGA-PBE", "state": "optimized geometry", "sg": "R-3m", "final_energy_ev_per_atom": -2.564, "crystal_system": "trigonal", "e_form_ev_per_atom": 0.305, "lattice": [[8.624, -0.095, -0.056], [8.061, 3.067, -0.056], [8.061, 1.436, 2.710]], "species": ["Tl", "Cu", "Cu", "Cd"], "frac_coords": [[0.250, 0.250, 0.250], [0.002, 0.002, 0.002], [0.498, 0.498, 0.498], [0.750, 0.750, 0.750]]}

=====

Record 3
{"formula": "Tl2CdCu2", "functional": "GGA-PBE", "state": "optimized geometry", "sg": "P4/mbm", "final_energy_ev_per_atom": -2.452, "crystal_system": "tetragonal", "polymorph_energy_ev_per_fu": 0.56, "e_form_ev_per_atom": 0.316, "lattice": [[8.143, 0.000, 0.000], [0.000, 8.143, 0.000], [0.000, 0.000, 3.230]], "species": ["Cd", "Cd", "Cu", "Cu", "Cu", "Cu", "Tl", "Tl", "Tl", "Tl"], "frac_coords": [[0.500, 0.500, 0.000], [0.000, 0.000, 0.000], [0.612, 0.888, 0.500], [0.388, 0.112, 0.500], [0.112, 0.612, 0.500], [0.888, 0.388, 0.500], [0.324, 0.824, 0.000], [0.824, 0.676, 0.000], [0.176, 0.324, 0.000], [0.676, 0.176, 0.000]]}

=====

Record 4
{"formula": "TlCdCu2", "functional": "GGA-PBE", "state": "optimized geometry", "sg": "I-4m2", "final_energy_ev_per_atom": -2.590, "crystal_system": "tetragonal", "e_form_ev_per_atom": 0.278, "lattice": [[-2.460, 4.376, 1.435], [-4.864, 0.343, -1.866], [2.669, -3.686, 2.559]], "species": ["Cd", "Tl", "Cu", "Cu"], "frac_coords": [[0.750, 0.250, 0.500], [0.500, 0.500, 0.000], [0.000, 0.000, 0.000], [0.250, 0.750, 0.500]]}

=====

Record 5
{"formula": "Tl3CdCu", "functional": "GGA-PBE", "state": "optimized geometry", "sg": "Pm-3m", "final_energy_ev_per_atom": -2.224, "crystal_system": "cubic", "polymorph_energy_ev_per_fu": 0.00, "e_form_ev_per_atom": 0.198, "lattice": [[5.287, 0.000, 0.000], [0.000, 5.287, 0.000], [0.000, 0.000, 5.287]], "species": ["Tl", "Tl", "Tl", "Cu", "Cd"], "frac_coords": [[0.000, 0.500, 0.000], [0.500, 0.000, 0.000], [0.000, 0.000, 0.500], [0.000, 0.000, 0.000], [0.500, 0.500, 0.500]]}

=====

Record 6
{"formula": "Tl2Cd2Cu", "functional": "GGA-PBE", "state": "optimized geometry", "sg": "P4/mbm", "final_energy_ev_per_atom": -1.941, "crystal_system": "tetragonal", "polymorph_energy_ev_per_fu": 0.00, "e_form_ev_per_atom": 0.191, "lattice": [[-5.675, -3.951, -1.543], [2.726, -5.371, 3.731], [-2.337, 1.722, 4.186]], "species": ["Cd", "Cd", "Cd", "Cd", "Tl", "Tl", "Tl", "Tl", "Cu", "Cu"], "frac_coords": [[0.847, 0.653, 0.000], [0.153, 0.347, 0.000], [0.347, 0.847, 0.000], [0.653, 0.153, 0.000], [0.171, 0.671, 0.500], [0.671, 0.829, 0.500], [0.329, 0.171, 0.500], [0.829, 0.329, 0.500], [0.500, 0.500, 0.000], [0.000, 0.000, 0.000]]}

=====

| no. | size of the total moment (μB/f.u.) |
| --- | --- |
| 1 | 0.0 |
| 2 | 0.0 |
| 3 | 0.0 |
| 4 | 0.0 |
| 5 | 0.0 |
| 6 | 0.0 |